ZrNpPd14 | PBE | relaxed

Unit cell a=5.753 b=5.753 c=7.843 alpha=90.00 beta=90.00 gamma=90.00
Space group P4/mmm (No. 123)
One atom of each set of equivalent atoms:
Zr: 0.000 0.000 0.000 [1 per cell]
Np: 0.500 0.500 0.000 [1 per cell]
Pd: 0.000 0.000 0.500 [1 per cell]
Pd: 0.000 0.500 0.000 [2 per cell]
Pd: 0.000 0.500 0.500 [2 per cell]
Pd: 0.249 0.249 0.251 [8 per cell]
Pd: 0.500 0.500 0.500 [1 per cell]

Final energy (eV/atom): -6.221



Zr3NpPd12 | PBE | relaxed

Unit cell a=4.058 b=4.058 c=16.317 alpha=90.00 beta=90.00 gamma=90.00
Space group P4/mmm (No. 123)
One atom of each set of equivalent atoms:
Zr: 0.000 0.000 0.000 [1 per cell]
Zr: 0.000 0.000 0.247 [2 per cell]
Np: 0.000 0.000 0.500 [1 per cell]
Pd: 0.000 0.500 0.123 [4 per cell]
Pd: 0.000 0.500 0.367 [4 per cell]
Pd: 0.500 0.500 0.000 [1 per cell]
Pd: 0.500 0.500 0.245 [2 per cell]
Pd: 0.500 0.500 0.500 [1 per cell]

Final energy (eV/atom): -7.013



The records above yield energy relative to the elements values of -5.348 -11.316 eV/f.u., respectively.
The records above yield magnetic moment values of 2.34 3.76 Bohr magnetons per cell, respectively.